(1)
VASP calculation (PBE) on a relaxed LiInGa2I4 crystal.

a b c (Å): 13.240 13.221 9.346
angles (deg): 90.00 134.88 90.00
Space group C2/c (No. 15)
Asymmetric unit:
Li 0.000 0.000 0.000 (multiplicity 4)
In 0.250 0.250 0.000 (multiplicity 4)
Ga 0.000 0.500 0.000 (multiplicity 4)
Ga 0.250 0.250 0.500 (multiplicity 4)
I 0.000 0.238 0.011 (multiplicity 8)
I 0.234 0.005 0.485 (multiplicity 8)

Computed properties:
E_tot = -85.20 eV per cell
M_tot = 0.00 μB per formula unit
theoretical density = 4.405 g cm⁻³



(2)
VASP calculation (PBE) on a relaxed AcPuGa2Ge2 crystal.

a b c (Å): 4.2651 4.2651 9.0999
angles (deg): 90.00 90.00 120.00
Space group P-3m1 (No. 164)
Asymmetric unit:
Ac 0.0000 0.0000 0.0000 (multiplicity 1)
Pu 0.0000 0.0000 0.5000 (multiplicity 1)
Ga 0.3333 0.6667 0.7681 (multiplicity 2)
Ge 0.3333 0.6667 0.3093 (multiplicity 2)

Computed properties:
M_tot = 5.41 μB per formula unit
energy of formation from the pure elements = -0.513 eV per atom
theoretical density = 8.753 g cm⁻³
density of states at the Fermi level = 13.479 states/eV/f.u.



(3)
VASP calculation (PBE) on a relaxed AlBiSe3 crystal.

a b c (Å): 5.528 5.528 5.528
angles (deg): 90.00 90.00 90.00
Space group Pm-3m (No. 221)
Asymmetric unit:
Al 0.000 0.000 0.000 (multiplicity 1)
Bi 0.500 0.500 0.500 (multiplicity 1)
Se 0.000 0.500 0.500 (multiplicity 3)

Computed properties:
M_tot = 0.00 μB per formula unit
theoretical density = 4.648 g cm⁻³
density of states at the Fermi level = 9.869 states/eV/f.u.
excess energy over the best structure of this formula in the dataset = 5.48 eV/f.u.



(4)
VASP calculation (PBE) on a relaxed Mg3CuPd crystal.

a b c (Å): 4.505 16.981 4.515
angles (deg): 90.00 90.00 90.00
Space group Cmcm (No. 63)
Asymmetric unit:
Mg 0.000 0.066 0.250 (multiplicity 4)
Mg 0.000 0.250 0.250 (multiplicity 4)
Mg 0.000 0.433 0.250 (multiplicity 4)
Cu 0.000 0.342 0.750 (multiplicity 4)
Pd 0.000 0.155 0.750 (multiplicity 4)

Computed properties:
M_tot = 0.00 μB per formula unit
energy of formation from the pure elements = -0.351 eV per atom
theoretical density = 4.670 g cm⁻³
density of states at the Fermi level = 1.423 states/eV/f.u.
excess energy over the best structure of this formula in the dataset = 0.00 eV/f.u.



(5)
VASP calculation (PBE) on a relaxed ReAu2Br crystal.

a b c (Å): 6.825 6.825 6.825
angles (deg): 90.00 90.00 90.00
Space group Fm-3m (No. 225)
Asymmetric unit:
Re 0.000 0.000 0.000 (multiplicity 4)
Au 0.250 0.250 0.250 (multiplicity 8)
Br 0.000 0.000 0.500 (multiplicity 4)

Computed properties:
M_tot = 3.77 μB per formula unit
theoretical density = 13.789 g cm⁻³
density of states at the Fermi level = 0.987 states/eV/f.u.
excess energy over the best structure of this formula in the dataset = 2.86 eV/f.u.



(6)
VASP calculation (PBE) on a relaxed Rb2TiCF6 crystal.

a b c (Å): 5.706 5.706 10.544
angles (deg): 90.00 90.00 90.00
Space group I4/mmm (No. 139)
Asymmetric unit:
Rb 0.000 0.500 0.250 (multiplicity 4)
Ti 0.000 0.000 0.000 (multiplicity 2)
C 0.000 0.000 0.500 (multiplicity 2)
F 0.000 0.000 0.183 (multiplicity 4)
F 0.237 0.237 0.000 (multiplicity 8)

Computed properties:
E_tot = -101.80 eV per cell
M_tot = 0.00 μB per formula unit
theoretical density = 3.335 g cm⁻³
density of states at the Fermi level = 0.000 states/eV/f.u.



(7)
VASP calculation (PBE) on a relaxed MnPbW2 crystal.

a b c (Å): 3.820 3.820 19.674
angles (deg): 90.00 90.00 90.00
Space group I-42d (No. 122)
Asymmetric unit:
Mn 0.000 0.000 0.000 (multiplicity 4)
Pb 0.000 0.000 0.500 (multiplicity 4)
W 0.235 0.250 0.125 (multiplicity 8)

Computed properties:
M_tot = 0.00 μB per formula unit
energy of formation from the pure elements = 1.261 eV per atom
theoretical density = 14.568 g cm⁻³
density of states at the Fermi level = 6.393 states/eV/f.u.



(8)
VASP calculation (PBE) on a relaxed KLaMn crystal.

a b c (Å): 4.0533 4.0533 6.4795
angles (deg): 90.00 90.00 120.00
Space group P-6m2 (No. 187)
Asymmetric unit:
K 0.0000 0.0000 0.0000 (multiplicity 1)
La 0.6667 0.3333 0.5000 (multiplicity 1)
Mn 0.3333 0.6667 0.5000 (multiplicity 1)

Computed properties:
M_tot = 0.01 μB per formula unit
energy of formation from the pure elements = 0.972 eV per atom
theoretical density = 4.196 g cm⁻³
density of states at the Fermi level = 2.308 states/eV/f.u.
excess energy over the best structure of this formula in the dataset = 1.30 eV/f.u.



Q: Look up the M_tot of the fourth one.
A: 0.00 μB per formula unit